This record from the Alexandria database describes a relaxed LuNiTe crystal. The functional is PBE.

Values from the calculation:
Volume = 20.34 Å³/atom
Crystal system = trigonal
Formation energy without anion corrections = -747 meV per atom

Cell and atoms, written as CIF:
```
data_LuNiTe
_cell_length_a 4.2201
_cell_length_b 4.2201
_cell_length_c 3.9567
_cell_angle_alpha 90.00
_cell_angle_beta 90.00
_cell_angle_gamma 120.00
_space_group_name_H-M_alt 'P 3 m 1'
_space_group_IT_number 156
_space_group_name_Hall 'P 3 -2"'
loop_
_atom_site_label
_atom_site_type_symbol
_atom_site_fract_x
_atom_site_fract_y
_atom_site_fract_z
Lu1 Lu 0.0000 0.0000 0.0000
Ni1 Ni 0.6667 0.3333 0.5658
Te1 Te 0.3333 0.6667 0.4933
```


This record from the Alexandria database describes a relaxed LuNi4Te crystal. The functional is PBE.

Values from the calculation:
Volume = 14.62 Å³/atom
Crystal system = cubic
Formation energy without anion corrections = -288 meV per atom

Cell and atoms, written as CIF:
```
data_LuNi4Te
_cell_length_a 7.052
_cell_length_b 7.052
_cell_length_c 7.052
_cell_angle_alpha 90.00
_cell_angle_beta 90.00
_cell_angle_gamma 90.00
_space_group_name_H-M_alt 'F -4 3 m'
_space_group_IT_number 216
_space_group_name_Hall 'F -4 2 3'
loop_
_atom_site_label
_atom_site_type_symbol
_atom_site_fract_x
_atom_site_fract_y
_atom_site_fract_z
Lu1 Lu 0.000 0.000 0.000
Ni1 Ni 0.126 0.126 0.626
Te1 Te 0.250 0.250 0.250
```